1.
GGA-PBE LaTbPrTl, optimized geometry; calculated formation energy = -0.04 eV/atom; polymorph energy (0 for the lowest one) = 46.4 meV/atom; spin magnetization = 0.0 μB/f.u.; SG = F-43m, No. 216; final energy = -16.85 eV per cell
1.0
0.000 3.953 3.953
3.953 0.000 3.953
3.953 3.953 0.000
La Tb Pr Tl
1 1 1 1
Direct
0.000 0.000 0.000
0.750 0.750 0.750
0.250 0.250 0.250
0.500 0.500 0.500

2.
GGA-PBE Y6Rh2S, optimized geometry; spin magnetization = 0.0 μB/f.u.; SG = P2_1/c, No. 14; final energy = -130.27 eV per cell
1.0
6.509 0.000 0.000
0.000 7.240 0.000
-6.284 0.000 9.916
Y Rh S
12 4 2
Direct
0.088 0.181 0.427
0.088 0.319 0.927
0.250 0.669 0.430
0.250 0.831 0.930
0.395 0.047 0.246
0.395 0.453 0.746
0.605 0.547 0.254
0.605 0.953 0.754
0.750 0.169 0.070
0.750 0.331 0.570
0.912 0.681 0.073
0.912 0.819 0.573
0.195 0.111 0.745
0.195 0.389 0.245
0.805 0.611 0.755
0.805 0.889 0.255
0.500 0.000 0.500
0.500 0.500 0.000

3.
GGA-PBE NiTePtN2, optimized geometry; polymorph energy (0 for the lowest one) = 34.9 meV/atom; spin magnetization = 3.4 μB/f.u.; SG = P4/mmm, No. 123; final energy = -25.51 eV per cell
1.0
3.733 0.000 0.000
0.000 3.733 0.000
0.000 0.000 5.794
Ni Te Pt N
1 1 1 2
Direct
0.000 0.000 0.000
0.000 0.000 0.500
0.500 0.500 0.500
0.000 0.500 0.000
0.500 0.000 0.000

no.,mass density (g/cm³),DOS(E_F) (states/eV/cell)
1,8.64,7.65
2,5.48,18.72
3,8.42,2.78